[1]
Material: ScAu
Method: DFT, meta-GGA SCAN
State: single point on PBEsol structure

Structure (POSCAR):
```
ScAu
1.0
3.3538 0.0000 0.0000
0.0000 3.3538 0.0000
0.0000 0.0000 3.3538
Au Sc
1 1
Direct
0.0000 0.0000 0.0000
0.5000 0.5000 0.5000
```

* SG: Pm-3m (221)
* E_form: -1.07 eV/atom

---

[2]
Material: Li4MnCo2NiO8
Method: DFT, meta-GGA SCAN
State: single point on PBEsol structure

Structure (POSCAR):
```
Li4MnCo2NiO8
1.0
2.8148 0.0000 0.0000
0.0000 4.9627 0.0641
0.0000 -1.6820 9.2620
O Li Ni Mn Co
8 4 1 1 2
Direct
0.5000 0.0767 0.3694
0.0000 0.1589 0.8721
0.5000 0.3859 0.1175
0.0000 0.3733 0.6390
0.0000 0.8411 0.1279
0.5000 0.6141 0.8825
0.5000 0.9233 0.6306
0.0000 0.6267 0.3610
0.0000 0.2365 0.2545
0.5000 0.0000 0.0000
0.5000 0.5000 0.5000
0.0000 0.7635 0.7455
0.0000 0.0000 0.5000
0.0000 0.5000 0.0000
0.5000 0.2644 0.7514
0.5000 0.7356 0.2486
```

* SG: P2/m (10)
* formation energy without anion corrections: -1.92 eV/atom

---

Number 1: total energy -85.531 eV per cell, ρ 10.65 Mg/m³. Number 2: total energy -159.203 eV per cell, ρ 4.96 Mg/m³.